PtRhPb after structural relaxation. Source: Alexandria, functional PBE.

Cell: 4.442 4.442 4.442 Å, 60.00 60.00 60.00°
Fractional positions:
Pt (0.500, 0.500, 0.500)
Rh (0.250, 0.250, 0.250)
Pb (0.000, 0.000, 0.000)

## Properties
* DFT total energy: -5.595 eV/atom
* total magnetization: 0.00 μB per cell
* energy of formation: 105.5 meV/atom
* relative energy among the computed polymorphs: 47 meV per atom
* SG: F-43m, No. 216